AlRhPb3 | meta-GGA SCAN | single point on PBEsol structure

```
AlRhPb3
1.0
5.204 0.000 0.000
0.000 5.204 0.000
0.000 0.000 5.204
Pb Rh Al
3 1 1
direct
0.000 0.500 0.000
0.000 0.000 0.500
0.500 0.000 0.000
0.000 0.000 0.000
0.500 0.500 0.500
```

For the size of the total moment, the calculation gives 0.0 μB per cell. The calculation puts the calculated total energy at -53.4560 eV per atom. The calculation puts the density of states at the Fermi level at 2.17 states/eV/cell.



AlRhPb2W | meta-GGA SCAN | single point on PBEsol structure

```
AlRhPb2W
1.0
-0.403 -1.488 4.342
3.734 -3.398 -0.818
3.467 3.447 1.503
Pb Rh Al W
2 1 1 1
direct
0.000 0.000 0.500
0.000 0.500 0.000
0.000 0.000 0.000
0.500 0.000 0.000
0.500 0.500 0.500
```

For the size of the total moment, the calculation gives 3.8 μB per cell. The calculation puts the calculated total energy at -51.4243 eV per atom. The calculation puts the density of states at the Fermi level at 2.47 states/eV/cell.



ZrAlRhPb2 | meta-GGA SCAN | single point on PBEsol structure

```
ZrAlRhPb2
1.0
-4.433 0.155 -1.044
-0.459 -4.992 1.208
-1.102 1.281 4.872
Pb Rh Al Zr
2 1 1 1
direct
0.000 0.000 0.500
0.000 0.500 0.000
0.000 0.000 0.000
0.500 0.000 0.000
0.500 0.500 0.500
```

For the size of the total moment, the calculation gives 0.0 μB per cell. The calculation puts the calculated total energy at -44.4179 eV per atom. The calculation puts the density of states at the Fermi level at 3.75 states/eV/cell.



AlRu3Pb | meta-GGA SCAN | single point on PBEsol structure

```
AlRu3Pb
1.0
4.429 0.000 0.000
0.000 4.429 0.000
0.000 0.000 4.429
Pb Ru Al
1 3 1
direct
0.500 0.500 0.500
0.000 0.500 0.000
0.000 0.000 0.500
0.500 0.000 0.000
0.000 0.000 0.000
```

For the size of the total moment, the calculation gives 1.4 μB per cell. The calculation puts the calculated total energy at -36.6910 eV per atom. The calculation puts the density of states at the Fermi level at 4.96 states/eV/cell.



Al2RuPb | meta-GGA SCAN | single point on PBEsol structure

```
Al2RuPb
1.0
-1.694 -3.558 -1.066
-1.033 -0.674 3.891
-2.187 3.991 -2.031
Pb Ru Al
1 1 2
direct
0.500 0.500 0.000
0.250 0.750 0.500
0.000 0.000 0.000
0.750 0.250 0.500
```

For the size of the total moment, the calculation gives 0.0 μB per cell. The calculation puts the calculated total energy at -31.3521 eV per atom. The calculation puts the density of states at the Fermi level at 1.60 states/eV/cell.



Al2RuPb | meta-GGA SCAN | single point on PBEsol structure

```
Al2RuPb
1.0
-2.049 0.058 2.456
-0.743 -4.636 -0.894
4.854 1.173 2.131
Pb Ru Al
1 1 2
direct
0.000 0.000 0.000
0.500 0.500 0.000
0.000 0.000 0.500
0.500 0.500 0.500
```

For the size of the total moment, the calculation gives 0.0 μB per cell. The calculation puts the calculated total energy at -31.2492 eV per atom. The calculation puts the density of states at the Fermi level at 1.98 states/eV/cell.



AlSi2RuPb | meta-GGA SCAN | single point on PBEsol structure

```
AlSi2RuPb
1.0
-0.216 -3.696 -2.663
3.419 1.630 -2.540
3.435 -2.415 3.073
Pb Ru Si Al
1 1 2 1
direct
0.000 0.000 0.500
0.500 0.500 0.500
0.000 0.500 0.000
0.500 0.000 0.000
0.000 0.000 0.000
```

For the size of the total moment, the calculation gives 2.1 μB per cell. The calculation puts the calculated total energy at -26.2386 eV per atom. The calculation puts the density of states at the Fermi level at 2.81 states/eV/cell.



TaAlRu2Pb | meta-GGA SCAN | single point on PBEsol structure

```
TaAlRu2Pb
1.0
4.832 0.000 0.000
0.000 4.832 0.000
0.000 0.000 5.052
Pb Ru Al Ta
1 2 1 1
direct
0.000 0.000 0.000
0.000 0.500 0.000
0.500 0.000 0.000
0.500 0.500 0.500
0.000 0.000 0.500
```

For the size of the total moment, the calculation gives 4.2 μB per cell. The calculation puts the calculated total energy at -41.7313 eV per atom. The calculation puts the density of states at the Fermi level at 5.30 states/eV/cell.



ZrAlRuPb2 | meta-GGA SCAN | single point on PBEsol structure

```
ZrAlRuPb2
1.0
5.018 0.000 0.000
0.000 5.018 0.000
0.000 0.000 5.018
Pb Ru Al Zr
2 1 1 1
direct
0.000 0.500 0.000
0.500 0.000 0.000
0.500 0.500 0.500
0.000 0.000 0.000
0.000 0.000 0.500
```

For the size of the total moment, the calculation gives 2.5 μB per cell. The calculation puts the calculated total energy at -43.7825 eV per atom. The calculation puts the density of states at the Fermi level at 4.03 states/eV/cell.



Al2PbS4 | meta-GGA SCAN | single point on PBEsol structure

```
Al2PbS4
1.0
5.915 0.000 0.000
-2.958 5.136 0.000
0.000 0.000 10.317
Pb S Al
2 8 4
direct
0.500 0.000 0.750
0.500 0.000 0.250
0.649 0.833 0.000
0.351 0.167 0.000
0.184 0.833 0.500
0.816 0.167 0.500
0.500 0.500 0.667
0.000 0.500 0.833
0.500 0.500 0.333
0.000 0.500 0.167
0.237 0.476 0.000
0.763 0.524 0.000
0.240 0.476 0.500
0.760 0.524 0.500
```

For the size of the total moment, the calculation gives 0.0 μB per cell. The calculation puts the calculated total energy at -19.6318 eV per atom. The calculation puts the density of states at the Fermi level at 0.00 states/eV/cell.



AlSbPb2 | meta-GGA SCAN | single point on PBEsol structure

```
AlSbPb2
1.0
3.454 0.000 0.000
0.000 3.746 0.000
0.000 0.000 8.013
Pb Sb Al
2 1 1
direct
0.000 0.000 0.970
0.500 0.500 0.265
0.000 0.000 0.541
0.500 0.500 0.724
```

For the size of the total moment, the calculation gives 0.0 μB per cell. The calculation puts the density of states at the Fermi level at 2.19 states/eV/cell. As for the energy above the most stable polymorph in this dataset: 0.0 meV per atom.



AlSbPb2 | meta-GGA SCAN | single point on PBEsol structure

```
AlSbPb2
1.0
-3.292 3.822 -1.609
-4.752 0.532 2.274
-0.982 4.146 3.144
Pb Sb Al
2 1 1
direct
0.000 0.000 0.000
0.750 0.750 0.750
0.250 0.250 0.250
0.500 0.500 0.500
```

For the size of the total moment, the calculation gives 0.0 μB per cell. The calculation puts the density of states at the Fermi level at 2.30 states/eV/cell. As for the energy above the most stable polymorph in this dataset: 92.6 meV per atom.



Al2Sb6Pb5 | meta-GGA SCAN | single point on PBEsol structure

```
Al2Sb6Pb5
1.0
4.483 0.000 0.000
0.000 12.310 0.000
0.000 0.000 13.893
Al Pb Sb
4 10 12
direct
0.000 0.335 0.292
0.000 0.665 0.708
0.000 0.835 0.208
0.000 0.165 0.792
0.500 0.318 0.498
0.500 0.682 0.502
0.500 0.818 0.002
0.500 0.182 0.998
0.500 0.592 0.247
0.500 0.408 0.753
0.500 0.092 0.253
0.500 0.908 0.747
0.500 0.500 0.000
0.500 0.000 0.500
0.000 0.160 0.412
0.000 0.840 0.588
0.000 0.660 0.088
0.000 0.340 0.912
0.500 0.335 0.180
0.500 0.665 0.820
0.500 0.835 0.320
0.500 0.165 0.680
0.000 0.527 0.397
0.000 0.473 0.603
0.000 0.027 0.103
0.000 0.973 0.897
```

For the size of the total moment, the calculation gives 0.0 μB per cell. The calculation puts the calculated total energy at -47.5338 eV per atom. The calculation puts the density of states at the Fermi level at 6.78 states/eV/cell.



AlSbPb2 | meta-GGA SCAN | single point on PBEsol structure

```
AlSbPb2
1.0
-2.599 0.703 -1.953
2.695 -1.801 -4.236
-1.785 -5.541 1.220
Pb Sb Al
2 1 1
direct
0.759 0.000 0.740
0.241 0.000 0.260
0.500 0.500 0.000
0.000 0.500 0.500
```

For the size of the total moment, the calculation gives 0.0 μB per cell. The calculation puts the density of states at the Fermi level at 2.03 states/eV/cell. As for the energy above the most stable polymorph in this dataset: 86.0 meV per atom.



AlSbPb2 | meta-GGA SCAN | single point on PBEsol structure

```
AlSbPb2
1.0
4.761 0.000 0.000
0.000 4.761 0.000
-2.380 -2.380 4.677
Pb Sb Al
2 1 1
direct
0.000 0.000 0.000
0.750 0.250 0.500
0.500 0.500 0.000
0.250 0.750 0.500
```

For the size of the total moment, the calculation gives 0.0 μB per cell. The calculation puts the density of states at the Fermi level at 1.87 states/eV/cell. As for the energy above the most stable polymorph in this dataset: 71.8 meV per atom.



AlSbPb | meta-GGA SCAN | single point on PBEsol structure

```
AlSbPb
1.0
5.065 0.000 0.000
2.532 4.386 0.000
2.532 1.462 4.135
Pb Sb Al
1 1 1
direct
0.500 0.500 0.500
0.250 0.250 0.250
0.000 0.000 0.000
```

For the size of the total moment, the calculation gives 0.0 μB per cell. The calculation puts the calculated total energy at -39.9523 eV per atom. The calculation puts the density of states at the Fermi level at 0.94 states/eV/cell.



ZrAlSbPb2 | meta-GGA SCAN | single point on PBEsol structure

```
ZrAlSbPb2
1.0
5.168 0.000 0.000
0.000 5.168 0.000
0.000 0.000 5.280
Pb Sb Al Zr
2 1 1 1
direct
0.000 0.500 0.000
0.500 0.000 0.000
0.500 0.500 0.500
0.000 0.000 0.000
0.000 0.000 0.500
```

For the size of the total moment, the calculation gives 0.0 μB per cell. The calculation puts the calculated total energy at -44.9343 eV per atom. The calculation puts the density of states at the Fermi level at 3.54 states/eV/cell.



ScAlPb | meta-GGA SCAN | single point on PBEsol structure

```
ScAlPb
1.0
3.141 0.000 0.000
0.000 4.892 0.000
0.000 -2.446 4.236
Pb Sc Al
1 1 1
direct
0.833 0.667 0.333
0.333 0.333 0.667
0.834 0.000 0.000
```

For the size of the total moment, the calculation gives 0.0 μB per cell. The calculation puts the density of states at the Fermi level at 1.77 states/eV/cell. As for the energy above the most stable polymorph in this dataset: 0.0 meV per atom.



ScAlPb | meta-GGA SCAN | single point on PBEsol structure

```
ScAlPb
1.0
-1.983 -0.218 -4.254
0.702 -3.760 -2.729
-3.517 -3.011 -0.801
Pb Sc Al
1 1 1
direct
0.000 0.000 0.000
0.500 0.500 0.500
0.750 0.750 0.750
```

For the size of the total moment, the calculation gives 0.0 μB per cell. The calculation puts the density of states at the Fermi level at 2.72 states/eV/cell. As for the energy above the most stable polymorph in this dataset: 225.8 meV per atom.



Sc2AlPb | meta-GGA SCAN | single point on PBEsol structure

```
Sc2AlPb
1.0
3.175 0.000 0.000
0.000 3.175 0.000
0.000 0.000 8.443
Pb Sc Al
1 2 1
direct
0.500 0.500 0.500
0.000 0.000 0.774
0.000 0.000 0.226
0.500 0.500 0.000
```

For the size of the total moment, the calculation gives 1.0 μB per cell. The calculation puts the calculated total energy at -28.4548 eV per atom. The calculation puts the density of states at the Fermi level at 2.81 states/eV/cell.